1.
The following is a DFT calculation (PBE-GGA) of a relaxed CaRhC2 crystal.

Cell: 4.0251 4.0251 4.0251 Å, 60.00 60.00 60.00°
Fractional coordinates of all 4 atoms:
Ca1 0.0000 0.0000 0.0000
Rh1 0.5000 0.5000 0.5000
C1 0.2500 0.2500 0.2500
C2 0.7500 0.7500 0.7500

Computed properties:
Its space group is No. 225. The calculation puts the energy at -5.79 eV/atom.

2.
The following is a DFT calculation (PBE-GGA) of a relaxed CaRh3C crystal.

Cell: 5.4347 5.5576 5.7791 Å, 98.83 95.44 117.25°
Fractional coordinates of all 10 atoms:
Ca1 0.0000 0.0000 0.0000
Ca2 0.4985 0.4769 0.5402
Rh1 0.0230 0.4661 0.8659
Rh2 0.4559 0.9283 0.2588
Rh3 0.4567 0.9774 0.7469
Rh4 0.5762 0.4719 0.0517
Rh5 0.9676 0.4606 0.3671
Rh6 0.9911 0.9704 0.4784
C1 0.4372 0.7102 0.9503
C2 0.7749 0.1711 0.5552

Computed properties:
Its space group is No. 1. The calculation puts the energy at -6.79 eV/atom.

3.
The following is a DFT calculation (PBE-GGA) of a relaxed CaRh3C crystal.

Cell: 3.7222 3.7222 7.0154 Å, 90.00 90.00 90.00°
Fractional coordinates of all 5 atoms:
Ca1 0.0000 0.0000 0.0000
Rh1 0.0000 0.0000 0.6005
Rh2 0.0000 0.5000 0.3327
Rh3 0.5000 0.0000 0.3327
C1 0.5000 0.5000 0.2022

Computed properties:
Its space group is No. 99. The calculation puts the energy at -6.18 eV/atom.

4.
The following is a DFT calculation (PBE-GGA) of a relaxed CaRh3C crystal.

Cell: 10.6006 10.6006 4.5614 Å, 90.00 90.00 150.47°
Fractional coordinates of all 10 atoms:
Ca1 0.1342 0.8658 0.7500
Ca2 0.8658 0.1342 0.2500
Rh1 0.0000 0.0000 0.0000
Rh2 0.0000 0.0000 0.5000
Rh3 0.0265 0.4653 0.7500
Rh4 0.4653 0.0265 0.2500
Rh5 0.5347 0.9735 0.7500
Rh6 0.9735 0.5347 0.2500
C1 0.3389 0.6611 0.7500
C2 0.6611 0.3389 0.2500

Computed properties:
Its space group is No. 63. The calculation puts the energy at -5.87 eV/atom.

5.
The following is a DFT calculation (PBE-GGA) of a relaxed CaRh3C crystal.

Cell: 5.5458 5.5458 5.6311 Å, 90.00 90.00 111.60°
Fractional coordinates of all 10 atoms:
Ca1 0.0561 0.9439 0.7500
Ca2 0.9439 0.0561 0.2500
Rh1 0.0075 0.5599 0.2500
Rh2 0.4401 0.9925 0.2500
Rh3 0.5000 0.5000 0.0000
Rh4 0.5000 0.5000 0.5000
Rh5 0.5599 0.0075 0.7500
Rh6 0.9925 0.4401 0.7500
C1 0.3447 0.6553 0.7500
C2 0.6553 0.3447 0.2500

Computed properties:
Its space group is No. 63. The calculation puts the energy at -6.51 eV/atom.

6.
The following is a DFT calculation (PBE-GGA) of a relaxed CaRh3C crystal.

Cell: 7.7987 7.7987 7.7987 Å, 60.00 60.00 60.00°
Fractional coordinates of all 20 atoms:
Ca1 0.0000 0.0000 0.0000
Ca2 0.0000 0.0000 0.5000
Ca3 0.0000 0.5000 0.0000
Ca4 0.5000 0.0000 0.0000
Rh1 0.1900 0.1900 0.5600
Rh2 0.1900 0.5600 0.1900
Rh3 0.1900 0.5600 0.5600
Rh4 0.4400 0.4400 0.8100
Rh5 0.4400 0.8100 0.4400
Rh6 0.4400 0.8100 0.8100
Rh7 0.5600 0.1900 0.1900
Rh8 0.5600 0.1900 0.5600
Rh9 0.5600 0.5600 0.1900
Rh10 0.8100 0.4400 0.4400
Rh11 0.8100 0.4400 0.8100
Rh12 0.8100 0.8100 0.4400
C1 0.0000 0.5000 0.5000
C2 0.5000 0.0000 0.5000
C3 0.5000 0.5000 0.0000
C4 0.5000 0.5000 0.5000

Computed properties:
Its space group is No. 227. The calculation puts the energy at -6.66 eV/atom.

7.
The following is a DFT calculation (PBE-GGA) of a relaxed CaRh3C crystal.

Cell: 11.0334 11.0334 11.0334 Å, 156.27 156.27 33.81°
Fractional coordinates of all 10 atoms:
Ca1 0.0000 0.0000 0.0000
Ca2 0.7500 0.2500 0.5000
Rh1 0.3393 0.3393 0.0000
Rh2 0.3712 0.1250 0.2461
Rh3 0.6607 0.6607 0.0000
Rh4 0.8750 0.1211 0.2461
Rh5 0.8750 0.6288 0.7539
Rh6 0.8789 0.1250 0.7539
C1 0.2184 0.7184 0.5000
C2 0.2816 0.7816 0.5000

Computed properties:
Its space group is No. 119. The calculation puts the energy at -5.75 eV/atom.

8.
The following is a DFT calculation (PBE-GGA) of a relaxed CaRuRh2C crystal.

Cell: 4.1745 4.1745 4.1510 Å, 90.00 90.00 90.00°
Fractional coordinates of all 5 atoms:
Ca1 0.0000 0.0000 0.0000
Ru1 0.5000 0.5000 0.0000
Rh1 0.0000 0.5000 0.5000
Rh2 0.5000 0.0000 0.5000
C1 0.5000 0.5000 0.5000

Computed properties:
Its space group is No. 123. The calculation puts the energy at -7.14 eV/atom.

9.
The following is a DFT calculation (PBE-GGA) of a relaxed CaScRhC2 crystal.

Cell: 4.3554 4.3554 4.7530 Å, 90.00 90.00 90.00°
Fractional coordinates of all 5 atoms:
Ca1 0.0000 0.0000 0.0000
Sc1 0.5000 0.5000 0.5000
Rh1 0.5000 0.5000 0.0000
C1 0.0000 0.5000 0.5000
C2 0.5000 0.0000 0.5000

Computed properties:
Its space group is No. 123. The calculation puts the energy at -5.59 eV/atom.

10.
The following is a DFT calculation (PBE-GGA) of a relaxed Ca2RhCSe crystal.

Cell: 5.1321 5.1321 3.8507 Å, 90.00 90.00 90.00°
Fractional coordinates of all 5 atoms:
Ca1 0.0000 0.5000 0.0000
Ca2 0.5000 0.0000 0.0000
Rh1 0.0000 0.0000 0.5000
C1 0.0000 0.0000 0.0000
Se1 0.5000 0.5000 0.5000

Computed properties:
Its space group is No. 123. The formation energy without anion corrections is -0.6482 eV/atom.

11.
The following is a DFT calculation (PBE-GGA) of a relaxed CaTcRh2C crystal.

Cell: 4.2095 4.2095 4.1632 Å, 90.00 90.00 90.00°
Fractional coordinates of all 5 atoms:
Ca1 0.0000 0.0000 0.0000
Tc1 0.5000 0.5000 0.0000
Rh1 0.0000 0.5000 0.5000
Rh2 0.5000 0.0000 0.5000
C1 0.5000 0.5000 0.5000

Computed properties:
Its space group is No. 123. The calculation puts the energy at -7.24 eV/atom.

12.
The following is a DFT calculation (PBE-GGA) of a relaxed CaTcRhC2 crystal.

Cell: 3.9673 3.9673 5.6336 Å, 90.00 90.00 90.00°
Fractional coordinates of all 5 atoms:
Ca1 0.0000 0.0000 0.0000
Tc1 0.0000 0.0000 0.5000
Rh1 0.5000 0.5000 0.0000
C1 0.0000 0.5000 0.5000
C2 0.5000 0.0000 0.5000

Computed properties:
Its space group is No. 123. The calculation puts the energy at -6.09 eV/atom.

13.
The following is a DFT calculation (PBE-GGA) of a relaxed Ca2TeRhC crystal.

Cell: 5.2384 5.2384 3.9128 Å, 90.00 90.00 90.00°
Fractional coordinates of all 5 atoms:
Ca1 0.0000 0.5000 0.0000
Ca2 0.5000 0.0000 0.0000
Te1 0.0000 0.0000 0.5000
Rh1 0.5000 0.5000 0.5000
C1 0.5000 0.5000 0.0000

Computed properties:
Its space group is No. 123. The formation energy without anion corrections is -0.5510 eV/atom.

14.
The following is a DFT calculation (PBE-GGA) of a relaxed Ca2TlRhC crystal.

Cell: 5.1917 5.1917 3.9249 Å, 90.00 90.00 90.00°
Fractional coordinates of all 5 atoms:
Ca1 0.0000 0.5000 0.0000
Ca2 0.5000 0.0000 0.0000
Tl1 0.0000 0.0000 0.5000
Rh1 0.5000 0.5000 0.5000
C1 0.5000 0.5000 0.0000

Computed properties:
Its space group is No. 123. The calculation puts the energy at -4.83 eV/atom.

15.
The following is a DFT calculation (PBE-GGA) of a relaxed CaYRhC2 crystal.

Cell: 4.4337 4.4337 4.8075 Å, 90.00 90.00 90.00°
Fractional coordinates of all 5 atoms:
Ca1 0.0000 0.0000 0.0000
Y1 0.5000 0.5000 0.5000
Rh1 0.0000 0.0000 0.5000
C1 0.0000 0.5000 0.0000
C2 0.5000 0.0000 0.0000

Computed properties:
Its space group is No. 123. The calculation puts the energy at -5.02 eV/atom.

16.
The following is a DFT calculation (PBE-GGA) of a relaxed Ca3RuC crystal.

Cell: 5.3019 5.3019 5.3019 Å, 90.00 90.00 90.00°
Fractional coordinates of all 5 atoms:
Ca1 0.0000 0.0000 0.5000
Ca2 0.0000 0.5000 0.0000
Ca3 0.5000 0.0000 0.0000
Ru1 0.0000 0.0000 0.0000
C1 0.5000 0.5000 0.5000

Computed properties:
Its space group is No. 221. For the energy relative to the lowest polymorph listed for this composition, the calculation gives 654.5 meV/atom.

17.
The following is a DFT calculation (PBE-GGA) of a relaxed CaRuC crystal.

Cell: 3.7953 3.7953 8.0460 Å, 90.00 90.00 90.00°
Fractional coordinates of all 6 atoms:
Ca1 0.2500 0.2500 0.2020
Ca2 0.7500 0.7500 0.7980
Ru1 0.2500 0.7500 0.5000
Ru2 0.7500 0.2500 0.5000
C1 0.2500 0.2500 0.6059
C2 0.7500 0.7500 0.3941

Computed properties:
Its space group is No. 129. For the energy relative to the lowest polymorph listed for this composition, the calculation gives 64.8 meV/atom.

18.
The following is a DFT calculation (PBE-GGA) of a relaxed CaRu2C3 crystal.

Cell: 5.8406 5.8406 5.3625 Å, 90.00 90.00 105.41°
Fractional coordinates of all 12 atoms:
Ca1 0.2201 0.7799 0.7500
Ca2 0.7799 0.2201 0.2500
Ru1 0.3059 0.3059 0.0000
Ru2 0.3059 0.3059 0.5000
Ru3 0.6941 0.6941 0.0000
Ru4 0.6941 0.6941 0.5000
C1 0.0440 0.1469 0.7500
C2 0.1469 0.0440 0.2500
C3 0.4348 0.5652 0.2500
C4 0.5652 0.4348 0.7500
C5 0.8531 0.9560 0.7500
C6 0.9560 0.8531 0.2500

Computed properties:
Its space group is No. 63. The calculation puts the energy at -7.82 eV/atom.

19.
The following is a DFT calculation (PBE-GGA) of a relaxed CaRuC2 crystal.

Cell: 3.9960 3.9960 7.3353 Å, 97.95 97.95 87.12°
Fractional coordinates of all 8 atoms:
Ca1 0.0628 0.9372 0.5000
Ca2 0.9372 0.0628 0.0000
Ru1 0.3984 0.5102 0.8056
Ru2 0.5102 0.3984 0.3056
C1 0.4805 0.6524 0.0735
C2 0.5028 0.8985 0.2261
C3 0.6524 0.4805 0.5735
C4 0.8985 0.5028 0.7261

Computed properties:
Its space group is No. 9. The calculation puts the energy at -7.34 eV/atom.

20.
The following is a DFT calculation (PBE-GGA) of a relaxed CaRuC crystal.

Cell: 6.2124 6.2124 5.3802 Å, 98.20 98.20 30.66°
Fractional coordinates of all 6 atoms:
Ca1 0.1536 0.1536 0.2090
Ca2 0.8464 0.8464 0.7910
Ru1 0.4145 0.4145 0.3391
Ru2 0.5855 0.5855 0.6609
C1 0.1632 0.1632 0.7272
C2 0.8368 0.8368 0.2728

Computed properties:
Its space group is No. 12. For the energy relative to the lowest polymorph listed for this composition, the calculation gives 7.2 meV/atom.